The following is a GGA-PBE calculation of Ac2Mg5In2 after structural relaxation, from Alexandria via LeMat-Bulk.

Cell: 4.823 4.823 11.401 Å, 90.00 90.00 90.00°
Atoms (fractional coordinates):
Ac 0.000 0.000 0.000
Ac 0.000 0.000 0.500
Mg 0.000 0.500 0.228
Mg 0.000 0.500 0.772
Mg 0.500 0.000 0.228
Mg 0.500 0.000 0.772
Mg 0.500 0.500 0.000
In 0.500 0.500 0.376
In 0.500 0.500 0.624

Output
Calculated formation energy ... -0.131 eV/atom
Symmetry ... No. 123
M_tot ... 0.0000 μB per atom
Total DFT energy (no corrections) ... -0.187 Ry per atom


The following is a GGA-PBE calculation of AcMg2In2 after structural relaxation, from Alexandria via LeMat-Bulk.

Cell: 4.792 4.792 12.133 Å, 90.00 90.00 90.00°
Atoms (fractional coordinates):
Ac 0.250 0.250 0.249
Ac 0.750 0.750 0.751
Mg 0.250 0.250 0.864
Mg 0.250 0.750 0.500
Mg 0.750 0.250 0.500
Mg 0.750 0.750 0.136
In 0.250 0.250 0.637
In 0.250 0.750 0.000
In 0.750 0.250 0.000
In 0.750 0.750 0.363

Output
Calculated formation energy ... -0.320 eV/atom
Symmetry ... No. 129
M_tot ... 0.0000 μB per atom
Total DFT energy (no corrections) ... -0.211 Ry per atom
Excess energy over the best structure of this formula in the dataset ... 0 meV/atom


The following is a GGA-PBE calculation of Ac2Mg3In6 after structural relaxation, from Alexandria via LeMat-Bulk.

Cell: 8.591 8.591 4.444 Å, 90.00 90.00 100.12°
Atoms (fractional coordinates):
Ac 0.199 0.801 0.000
Ac 0.801 0.199 0.000
Mg 0.302 0.302 0.000
Mg 0.500 0.500 0.500
Mg 0.698 0.698 0.000
In 0.124 0.124 0.500
In 0.154 0.469 0.500
In 0.469 0.154 0.500
In 0.531 0.846 0.500
In 0.846 0.531 0.500
In 0.876 0.876 0.500

Output
Calculated formation energy ... -0.186 eV/atom
Symmetry ... No. 65
M_tot ... 0.0000 μB per atom
Total DFT energy (no corrections) ... -0.210 Ry per atom


The following is a GGA-PBE calculation of AcMg4In12 after structural relaxation, from Alexandria via LeMat-Bulk.

Cell: 8.664 8.664 8.664 Å, 109.47 109.47 109.47°
Atoms (fractional coordinates):
Ac 0.000 0.000 0.000
Mg 0.000 0.000 0.500
Mg 0.000 0.500 0.000
Mg 0.500 0.000 0.000
Mg 0.500 0.500 0.500
In 0.153 0.506 0.354
In 0.153 0.799 0.646
In 0.201 0.354 0.847
In 0.354 0.153 0.506
In 0.354 0.847 0.201
In 0.494 0.646 0.847
In 0.506 0.354 0.153
In 0.646 0.153 0.799
In 0.646 0.847 0.494
In 0.799 0.646 0.153
In 0.847 0.201 0.354
In 0.847 0.494 0.646

Output
Calculated formation energy ... 0.092 eV/atom
Symmetry ... No. 204
M_tot ... 0.0000 μB per atom
Total DFT energy (no corrections) ... -0.181 Ry per atom


The following is a GGA-PBE calculation of AcMg3In after structural relaxation, from Alexandria via LeMat-Bulk.

Cell: 7.318 7.318 12.972 Å, 90.00 90.00 120.00°
Atoms (fractional coordinates):
Ac 0.000 0.000 0.000
Ac 0.000 0.000 0.500
Ac 0.333 0.667 0.250
Ac 0.667 0.333 0.750
Mg 0.000 0.500 0.000
Mg 0.000 0.500 0.500
Mg 0.134 0.267 0.750
Mg 0.134 0.866 0.750
Mg 0.267 0.134 0.250
Mg 0.500 0.000 0.000
Mg 0.500 0.000 0.500
Mg 0.500 0.500 0.000
Mg 0.500 0.500 0.500
Mg 0.733 0.866 0.750
Mg 0.866 0.134 0.250
Mg 0.866 0.733 0.250
In 0.333 0.667 0.638
In 0.333 0.667 0.862
In 0.667 0.333 0.138
In 0.667 0.333 0.362

Output
Calculated formation energy ... 0.048 eV/atom
Symmetry ... No. 194
M_tot ... 0.0000 μB per atom
Total DFT energy (no corrections) ... -0.167 Ry per atom
Excess energy over the best structure of this formula in the dataset ... 166 meV/atom


The following is a GGA-PBE calculation of Ac2MgIn12 after structural relaxation, from Alexandria via LeMat-Bulk.

Cell: 7.076 7.076 17.277 Å, 90.00 90.00 90.00°
Atoms (fractional coordinates):
Ac 0.250 0.750 0.244
Ac 0.250 0.750 0.756
Ac 0.750 0.250 0.244
Ac 0.750 0.250 0.756
Mg 0.250 0.750 0.000
Mg 0.750 0.250 0.000
In 0.001 0.501 0.090
In 0.001 0.999 0.910
In 0.085 0.585 0.570
In 0.085 0.915 0.430
In 0.250 0.250 0.185
In 0.250 0.250 0.346
In 0.250 0.250 0.654
In 0.250 0.250 0.815
In 0.415 0.585 0.430
In 0.415 0.915 0.570
In 0.499 0.501 0.910
In 0.499 0.999 0.090
In 0.501 0.001 0.910
In 0.501 0.499 0.090
In 0.585 0.085 0.430
In 0.585 0.415 0.570
In 0.750 0.750 0.185
In 0.750 0.750 0.346
In 0.750 0.750 0.654
In 0.750 0.750 0.815
In 0.915 0.085 0.570
In 0.915 0.415 0.430
In 0.999 0.001 0.090
In 0.999 0.499 0.910

Output
Calculated formation energy ... -0.188 eV/atom
Symmetry ... No. 125
M_tot ... 0.0000 μB per atom
Total DFT energy (no corrections) ... -0.223 Ry per atom


The following is a GGA-PBE calculation of Ac6MgIn after structural relaxation, from Alexandria via LeMat-Bulk.

Cell: 10.638 10.638 10.638 Å, 148.94 148.94 44.50°
Atoms (fractional coordinates):
Ac 0.108 0.608 0.500
Ac 0.250 0.250 0.000
Ac 0.392 0.892 0.500
Ac 0.608 0.108 0.500
Ac 0.750 0.750 0.000
Ac 0.892 0.392 0.500
Mg 0.000 0.000 0.000
In 0.500 0.500 0.000

Output
Calculated formation energy ... -0.122 eV/atom
Symmetry ... No. 139
M_tot ... 0.0000 μB per atom
Total DFT energy (no corrections) ... -0.275 Ry per atom


The following is a GGA-PBE calculation of AcMg2In after structural relaxation, from Alexandria via LeMat-Bulk.

Cell: 3.779 3.779 8.142 Å, 90.00 90.00 90.00°
Atoms (fractional coordinates):
Ac 0.000 0.000 0.000
Mg 0.500 0.500 0.298
Mg 0.500 0.500 0.702
In 0.000 0.000 0.500

Output
Calculated formation energy ... -0.095 eV/atom
Symmetry ... No. 123
M_tot ... 0.0002 μB per atom
Total DFT energy (no corrections) ... -0.191 Ry per atom
Excess energy over the best structure of this formula in the dataset ... 182 meV/atom